The following is a PBEsol calculation of crystalline LaY2Sc at its relaxed geometry, from Alexandria via LeMat-Bulk.

Cell lengths 3.914, 3.914, 7.813 Å; angles 90.00, 90.00, 90.00 degrees
Fractional coordinates of all 4 atoms:
La  0.000  0.000  0.000
Y  0.000  0.000  0.456
Y  0.500  0.500  0.721
Sc  0.500  0.500  0.240

Properties
Symmetry: P4mm, No. 99
DOS(E_F) (states/eV per atom): 1.523
Density (g/cm³): 5.018
Energy of formation from the pure elements (eV per atom): 0.0857
Polymorph energy (0 for the lowest one) (meV per atom): 44